First-principles (PBE-GGA) data for crystalline In3FeRh at its relaxed geometry, as listed in Alexandria via LeMat-Bulk.

```
5
Lattice="5.0966 0.0000 0.0000 0.0000 5.0966 0.0000 0.0000 0.0000 5.0966" Properties=species:S:1:pos:R:3 pbc="T T T"
In 0.0000 0.0000 2.5483
In 0.0000 2.5483 0.0000
In 2.5483 0.0000 0.0000
Fe 2.5483 2.5483 2.5483
Rh 0.0000 0.0000 0.0000
```

- Formation enthalpy at 0 K: 0.4795 eV per atom
- Fermi-level density of states: 0.884 states/eV/atom
- Offset from the most stable computed form: 0.000 eV per atom
- Symmetry: Pm-3m (221)


First-principles (PBE-GGA) data for crystalline InFeRh2 at its relaxed geometry, as listed in Alexandria via LeMat-Bulk.

```
4
Lattice="-1.9249 1.9249 4.1265 1.9249 -1.9249 4.1265 1.9249 1.9249 -4.1265" Properties=species:S:1:pos:R:3 pbc="T T T"
In 0.0000 0.0000 0.0000
Fe 1.9249 0.0000 2.0633
Rh 0.0000 0.0000 4.1265
Rh 0.0000 1.9249 2.0633
```

- Formation enthalpy at 0 K: -0.0736 eV per atom
- Fermi-level density of states: 1.030 states/eV/atom
- Symmetry: I-4m2 (119)


First-principles (PBE-GGA) data for crystalline InFe3Rh4 at its relaxed geometry, as listed in Alexandria via LeMat-Bulk.

```
8
Lattice="4.3137 0.0000 0.0000 0.0000 4.3137 0.0000 0.0000 0.0000 6.2238" Properties=species:S:1:pos:R:3 pbc="T T T"
In 0.0000 0.0000 0.0000
Fe 0.0000 0.0000 3.1119
Fe 2.1569 2.1569 0.0000
Fe 2.1569 2.1569 3.1119
Rh 0.0000 2.1569 1.6475
Rh 0.0000 2.1569 4.5763
Rh 2.1569 0.0000 1.6475
Rh 2.1569 0.0000 4.5763
```

- Formation enthalpy at 0 K: -0.1230 eV per atom
- Fermi-level density of states: 0.870 states/eV/atom
- Symmetry: P4/mmm (123)


First-principles (PBE-GGA) data for crystalline InFeRuRh at its relaxed geometry, as listed in Alexandria via LeMat-Bulk.

```
4
Lattice="0.0000 3.1230 3.1230 3.1230 0.0000 3.1230 3.1230 3.1230 0.0000" Properties=species:S:1:pos:R:3 pbc="T T T"
In 0.0000 0.0000 0.0000
Fe 3.1230 3.1230 3.1230
Ru 1.5615 1.5615 1.5615
Rh 4.6846 4.6846 4.6846
```

- Formation enthalpy at 0 K: -0.0328 eV per atom
- Fermi-level density of states: 0.694 states/eV/atom
- Symmetry: F-43m (216)


First-principles (PBE-GGA) data for crystalline ScInFeRh at its relaxed geometry, as listed in Alexandria via LeMat-Bulk.

```
4
Lattice="0.0000 3.1855 3.1855 3.1855 0.0000 3.1855 3.1855 3.1855 0.0000" Properties=species:S:1:pos:R:3 pbc="T T T"
Sc 0.0000 0.0000 0.0000
In 3.1855 3.1855 3.1855
Fe 4.7782 4.7782 4.7782
Rh 1.5927 1.5927 1.5927
```

- Formation enthalpy at 0 K: -0.3424 eV per atom
- Fermi-level density of states: 1.864 states/eV/atom
- Symmetry: F-43m (216)


First-principles (PBE-GGA) data for crystalline ScInFeRh2 at its relaxed geometry, as listed in Alexandria via LeMat-Bulk.

```
5
Lattice="4.6749 0.0000 0.0000 0.0000 4.6749 0.0000 0.0000 0.0000 4.4764" Properties=species:S:1:pos:R:3 pbc="T T T"
Sc 0.0000 0.0000 0.0000
In 2.3375 2.3375 2.2382
Fe 0.0000 0.0000 2.2382
Rh 0.0000 2.3375 0.0000
Rh 2.3375 0.0000 0.0000
```

- Formation enthalpy at 0 K: 0.7150 eV per atom
- Fermi-level density of states: 0.685 states/eV/atom
- Symmetry: P4/mmm (123)


First-principles (PBE-GGA) data for crystalline Sc2InFe2Rh5 at its relaxed geometry, as listed in Alexandria via LeMat-Bulk.

```
20
Lattice="9.2595 0.0000 0.0000 0.0000 9.2595 0.0000 0.0000 0.0000 3.7583" Properties=species:S:1:pos:R:3 pbc="T T T"
Sc 1.6178 3.0119 0.0000
Sc 3.0119 7.6417 0.0000
Sc 6.2476 1.6178 0.0000
Sc 7.6417 6.2476 0.0000
In 0.0000 0.0000 0.0000
In 4.6298 4.6298 0.0000
Fe 1.1324 5.7622 0.0000
Fe 3.4973 1.1324 0.0000
Fe 5.7622 8.1271 0.0000
Fe 8.1271 3.4973 0.0000
Rh 0.0000 4.6298 1.8792
Rh 0.6611 7.3161 1.8792
Rh 1.9434 0.6611 1.8792
Rh 2.6864 5.2909 1.8792
Rh 3.9686 2.6864 1.8792
Rh 4.6298 0.0000 1.8792
Rh 5.2909 6.5732 1.8792
Rh 6.5732 3.9686 1.8792
Rh 7.3161 8.5984 1.8792
Rh 8.5984 1.9434 1.8792
```

- Formation enthalpy at 0 K: -0.4053 eV per atom
- Fermi-level density of states: 0.958 states/eV/atom
- Symmetry: P4/mbm (127)


First-principles (PBE-GGA) data for crystalline InFeSi2Rh at its relaxed geometry, as listed in Alexandria via LeMat-Bulk.

```
5
Lattice="4.8832 0.0000 0.0000 0.0000 4.8832 0.0000 0.0000 0.0000 4.7728" Properties=species:S:1:pos:R:3 pbc="T T T"
In 0.0000 0.0000 0.0000
Fe 0.0000 0.0000 2.3864
Si 0.0000 2.4416 0.0000
Si 2.4416 0.0000 0.0000
Rh 2.4416 2.4416 2.3864
```

- Fermi-level density of states: 1.511 states/eV/atom
- Symmetry: P4/mmm (123)
- Raw formation energy: 1.75 eV/atom


First-principles (PBE-GGA) data for crystalline Sm2InFe2Rh5 at its relaxed geometry, as listed in Alexandria via LeMat-Bulk.

```
20
Lattice="9.6739 0.0000 0.0000 0.0000 9.6739 0.0000 0.0000 0.0000 3.7591" Properties=species:S:1:pos:R:3 pbc="T T T"
Sm 1.7327 3.1043 0.0000
Sm 3.1043 7.9413 0.0000
Sm 6.5696 1.7327 0.0000
Sm 7.9413 6.5696 0.0000
In 0.0000 0.0000 0.0000
In 4.8370 4.8370 0.0000
Fe 1.1408 5.9777 0.0000
Fe 3.6962 1.1408 0.0000
Fe 5.9777 8.5332 0.0000
Fe 8.5332 3.6962 0.0000
Rh 0.0000 4.8370 1.8796
Rh 0.6414 7.6065 1.8796
Rh 2.0674 0.6414 1.8796
Rh 2.7695 5.4784 1.8796
Rh 4.1955 2.7695 1.8796
Rh 4.8370 0.0000 1.8796
Rh 5.4784 6.9044 1.8796
Rh 6.9044 4.1955 1.8796
Rh 7.6065 9.0325 1.8796
Rh 9.0325 2.0674 1.8796
```

- Formation enthalpy at 0 K: -0.3877 eV per atom
- Fermi-level density of states: 0.798 states/eV/atom
- Symmetry: P4/mbm (127)


First-principles (PBE-GGA) data for crystalline In2FeSnRh at its relaxed geometry, as listed in Alexandria via LeMat-Bulk.

```
5
Lattice="4.8904 0.0000 0.0000 0.0000 4.8904 0.0000 0.0000 0.0000 4.8003" Properties=species:S:1:pos:R:3 pbc="T T T"
In 0.0000 2.4452 0.0000
In 2.4452 0.0000 0.0000
Fe 0.0000 0.0000 0.0000
Sn 0.0000 0.0000 2.4002
Rh 2.4452 2.4452 2.4002
```

- Formation enthalpy at 0 K: 0.5539 eV per atom
- Fermi-level density of states: 1.089 states/eV/atom
- Offset from the most stable computed form: 0.173 eV per atom
- Symmetry: P4/mmm (123)


First-principles (PBE-GGA) data for crystalline In2FeSnRh at its relaxed geometry, as listed in Alexandria via LeMat-Bulk.

```
5
Lattice="5.0800 0.0000 0.0000 0.0000 5.0800 0.0000 0.0000 0.0000 4.7726" Properties=species:S:1:pos:R:3 pbc="T T T"
In 0.0000 2.5400 0.0000
In 2.5400 0.0000 0.0000
Fe 0.0000 0.0000 2.3863
Sn 2.5400 2.5400 2.3863
Rh 0.0000 0.0000 0.0000
```

- Formation enthalpy at 0 K: 0.3810 eV per atom
- Fermi-level density of states: 0.834 states/eV/atom
- Offset from the most stable computed form: 0.000 eV per atom
- Symmetry: P4/mmm (123)


First-principles (PBE-GGA) data for crystalline InFeTc2Rh at its relaxed geometry, as listed in Alexandria via LeMat-Bulk.

```
5
Lattice="4.6827 0.0000 0.0000 0.0000 4.6827 0.0000 0.0000 0.0000 4.9088" Properties=species:S:1:pos:R:3 pbc="T T T"
In 0.0000 0.0000 0.0000
Fe 2.3414 2.3414 0.0000
Tc 0.0000 2.3414 2.4544
Tc 2.3414 0.0000 2.4544
Rh 0.0000 0.0000 2.4544
```

- Formation enthalpy at 0 K: 1.6431 eV per atom
- Fermi-level density of states: 1.476 states/eV/atom
- Offset from the most stable computed form: 0.659 eV per atom
- Symmetry: P4/mmm (123)


First-principles (PBE-GGA) data for crystalline InFeTc2Rh at its relaxed geometry, as listed in Alexandria via LeMat-Bulk.

```
5
Lattice="4.3863 0.0000 0.0000 0.0000 4.3863 0.0000 0.0000 0.0000 4.6043" Properties=species:S:1:pos:R:3 pbc="T T T"
In 0.0000 0.0000 0.0000
Fe 2.1931 2.1931 2.3022
Tc 0.0000 2.1931 2.3022
Tc 2.1931 0.0000 2.3022
Rh 2.1931 2.1931 0.0000
```

- Formation enthalpy at 0 K: 0.9836 eV per atom
- Fermi-level density of states: 1.373 states/eV/atom
- Offset from the most stable computed form: 0.000 eV per atom
- Symmetry: P4/mmm (123)


First-principles (PBE-GGA) data for crystalline Tl2InFeRh at its relaxed geometry, as listed in Alexandria via LeMat-Bulk.

```
5
Lattice="5.5906 0.0000 0.0000 0.0000 5.5906 0.0000 0.0000 0.0000 4.9815" Properties=species:S:1:pos:R:3 pbc="T T T"
Tl 0.0000 2.7953 0.0000
Tl 2.7953 0.0000 0.0000
In 0.0000 0.0000 0.0000
Fe 2.7953 2.7953 2.4908
Rh 0.0000 0.0000 2.4908
```

- Formation enthalpy at 0 K: 1.2858 eV per atom
- Fermi-level density of states: 1.277 states/eV/atom
- Symmetry: P4/mmm (123)


First-principles (PBE-GGA) data for crystalline YInFe2Rh at its relaxed geometry, as listed in Alexandria via LeMat-Bulk.

```
5
Lattice="4.7347 0.0000 0.0000 0.0000 4.7347 0.0000 0.0000 0.0000 4.9588" Properties=species:S:1:pos:R:3 pbc="T T T"
Y 0.0000 0.0000 0.0000
In 2.3673 2.3673 2.4794
Fe 0.0000 2.3673 2.4794
Fe 2.3673 0.0000 2.4794
Rh 2.3673 2.3673 0.0000
```

- Formation enthalpy at 0 K: 0.8298 eV per atom
- Fermi-level density of states: 2.160 states/eV/atom
- Symmetry: P4/mmm (123)


First-principles (PBE-GGA) data for crystalline Y2InFe2Rh5 at its relaxed geometry, as listed in Alexandria via LeMat-Bulk.

```
20
Lattice="9.6119 0.0000 0.0000 0.0000 9.6119 0.0000 0.0000 0.0000 3.7328" Properties=species:S:1:pos:R:3 pbc="T T T"
Y 1.7092 3.0968 0.0000
Y 3.0968 7.9027 0.0000
Y 6.5151 1.7092 0.0000
Y 7.9027 6.5151 0.0000
In 0.0000 0.0000 0.0000
In 4.8059 4.8059 0.0000
Fe 1.1468 5.9528 0.0000
Fe 3.6591 1.1468 0.0000
Fe 5.9528 8.4651 0.0000
Fe 8.4651 3.6591 0.0000
Rh 0.0000 4.8059 1.8664
Rh 0.6487 7.5666 1.8664
Rh 2.0453 0.6487 1.8664
Rh 2.7607 5.4546 1.8664
Rh 4.1573 2.7607 1.8664
Rh 4.8059 0.0000 1.8664
Rh 5.4546 6.8512 1.8664
Rh 6.8512 4.1573 1.8664
Rh 7.5666 8.9632 1.8664
Rh 8.9632 2.0453 1.8664
```

- Formation enthalpy at 0 K: -0.4267 eV per atom
- Fermi-level density of states: 0.725 states/eV/atom
- Symmetry: P4/mbm (127)


First-principles (PBE-GGA) data for crystalline ZrInFeRh at its relaxed geometry, as listed in Alexandria via LeMat-Bulk.

```
4
Lattice="0.0000 3.1997 3.1997 3.1997 0.0000 3.1997 3.1997 3.1997 0.0000" Properties=species:S:1:pos:R:3 pbc="T T T"
Zr 0.0000 0.0000 0.0000
In 3.1997 3.1997 3.1997
Fe 1.5999 1.5999 1.5999
Rh 4.7996 4.7996 4.7996
```

- Formation enthalpy at 0 K: -0.3794 eV per atom
- Fermi-level density of states: 0.192 states/eV/atom
- Symmetry: F-43m (216)


First-principles (PBE-GGA) data for crystalline In2FeRu at its relaxed geometry, as listed in Alexandria via LeMat-Bulk.

```
4
Lattice="1.5211 0.8782 8.6590 -1.5211 0.8782 8.6590 0.0000 -1.7565 8.6590" Properties=species:S:1:pos:R:3 pbc="T T T"
In 0.0000 0.0000 6.5026
In 0.0000 0.0000 19.4745
Fe 0.0000 0.0000 12.9885
Ru 0.0000 0.0000 0.0000
```

- Formation enthalpy at 0 K: 0.3429 eV per atom
- Fermi-level density of states: 0.843 states/eV/atom
- Offset from the most stable computed form: 0.242 eV per atom
- Symmetry: R-3m (166)


First-principles (PBE-GGA) data for crystalline InFe2Ru at its relaxed geometry, as listed in Alexandria via LeMat-Bulk.

```
4
Lattice="3.8495 0.0000 0.0000 0.0000 3.8495 0.0000 0.0000 0.0000 3.9778" Properties=species:S:1:pos:R:3 pbc="T T T"
In 0.0000 0.0000 0.0000
Fe 0.0000 1.9248 1.9889
Fe 1.9248 0.0000 1.9889
Ru 1.9248 1.9248 0.0000
```

- Formation enthalpy at 0 K: 0.1901 eV per atom
- Fermi-level density of states: 0.667 states/eV/atom
- Symmetry: P4/mmm (123)


First-principles (PBE-GGA) data for crystalline In2FeRu at its relaxed geometry, as listed in Alexandria via LeMat-Bulk.

```
4
Lattice="1.5529 0.8966 8.8502 -1.5529 0.8966 8.8502 0.0000 -1.7931 8.8502" Properties=species:S:1:pos:R:3 pbc="T T T"
In 0.0000 0.0000 0.0000
In 0.0000 0.0000 6.1557
Fe 0.0000 0.0000 19.9328
Ru 0.0000 0.0000 12.7847
```

- Formation enthalpy at 0 K: 0.3523 eV per atom
- Fermi-level density of states: 1.219 states/eV/atom
- Offset from the most stable computed form: 0.251 eV per atom
- Symmetry: R3m (160)